# PaFeNi2O6

An optimized crystal structure of PaFeNi2O6 (PBE+U, Alexandria).

abc: 5.2584 5.2584 14.2267
angles: 90.00 90.00 120.00
Space group R3 (No. 146, hexagonal axes)
Symmetry-distinct sites (fractional):
Pa1 0.0000 0.0000 0.0000 (multiplicity 3)
Fe1 0.0000 0.0000 0.4937 (multiplicity 3)
Ni1 0.0000 0.0000 0.2947 (multiplicity 3)
Ni2 0.0000 0.0000 0.7978 (multiplicity 3)
O1 0.0113 0.7158 0.4037 (multiplicity 9)
O2 0.0243 0.3418 0.5638 (multiplicity 9)

Magnetization   14.97 Bohr magnetons per cell
DFT total energy   -204.65 eV/cell